Pa2TeP | Alexandria | PBE | relaxed; V = 106.53 Å³/cell; DFT total energy = -7.117 eV/atom; crystal system = trigonal
1.0
4.8600 0.0000 0.0000
2.4300 4.2089 0.0000
2.4300 1.4030 5.2079
Pa Te P
2 1 1
direct
0.3436 0.3436 0.9693 Pa
0.5195 0.5195 0.4416 Pa
0.9236 0.9236 0.2293 Te
0.7134 0.7134 0.8598 P